The following is a PBE-GGA calculation of crystalline CaCoAg2Ir at its relaxed geometry, from the Alexandria database. Values from VASP.

Cell and atoms, written as Quantum ESPRESSO input:
```
&SYSTEM
  ibrav = 0, nat = 5, ntyp = 4
/
ATOMIC_SPECIES
Co 58.93 Co.upf
Ca 40.08 Ca.upf
Ag 107.87 Ag.upf
Ir 192.22 Ir.upf
CELL_PARAMETERS angstrom
4.9164 0.0000 0.0000
0.0000 4.2199 0.0000
0.0000 0.0000 4.9164
ATOMIC_POSITIONS crystal
Co 0.0000 0.5000 0.0000
Ca 0.0000 0.0000 0.0000
Ag 0.0000 0.0000 0.5000
Ag 0.5000 0.0000 0.0000
Ir 0.5000 0.5000 0.5000
```

Values from the calculation:
V (A^3/atom): 20.4
Formation enthalpy at 0 K (meV per atom): 1831